Record 1
Below is a geometry-optimized Ba2CuBr6 structure, with properties calculated at the GGA-PBE level.

a = 7.231 Å, b = 7.231 Å, c = 13.598 Å
α = 90.00°, β = 90.00°, γ = 90.00°
Positions (direct):
Ba: 0.000 0.000 0.166
Ba: 0.000 0.000 0.834
Ba: 0.500 0.500 0.334
Ba: 0.500 0.500 0.666
Cu: 0.000 0.000 0.500
Cu: 0.500 0.500 0.000
Br: 0.174 0.174 0.367
Br: 0.174 0.174 0.633
Br: 0.214 0.214 0.000
Br: 0.286 0.714 0.500
Br: 0.326 0.674 0.133
Br: 0.326 0.674 0.867
Br: 0.674 0.326 0.133
Br: 0.674 0.326 0.867
Br: 0.714 0.286 0.500
Br: 0.786 0.786 0.000
Br: 0.826 0.826 0.367
Br: 0.826 0.826 0.633

## Properties
Space group: P4_2/mnm, No. 136
Polymorph energy (0 for the lowest one): 122 meV per atom
Magnetic moment: 2.2 μB per cell
E_form (uncorrected): -1427 meV per atom

=====

Record 2
Below is a geometry-optimized BaCuBr structure, with properties calculated at the GGA-PBE level.

a = 12.904 Å, b = 4.579 Å, c = 7.957 Å
α = 90.00°, β = 90.00°, γ = 90.00°
Positions (direct):
Ba: 0.153 0.000 0.000
Ba: 0.153 0.500 0.500
Ba: 0.847 0.000 0.000
Ba: 0.847 0.500 0.500
Cu: 0.000 0.000 0.333
Cu: 0.000 0.500 0.833
Cu: 0.500 0.000 0.333
Cu: 0.500 0.500 0.833
Br: 0.323 0.000 0.333
Br: 0.323 0.500 0.833
Br: 0.677 0.000 0.333
Br: 0.677 0.500 0.833

## Properties
Space group: Amm2, No. 38
Polymorph energy (0 for the lowest one): 205 meV per atom
Magnetic moment: 0.0 μB per cell
E_form (uncorrected): -533 meV per atom

=====

Record 3
Below is a geometry-optimized BaCu2Br structure, with properties calculated at the GGA-PBE level.

a = 8.880 Å, b = 8.880 Å, c = 5.961 Å
α = 90.00°, β = 90.00°, γ = 90.00°
Positions (direct):
Ba: 0.000 0.000 0.000
Ba: 0.000 0.500 0.250
Ba: 0.500 0.000 0.750
Ba: 0.500 0.500 0.500
Cu: 0.225 0.250 0.625
Cu: 0.250 0.725 0.875
Cu: 0.250 0.775 0.375
Cu: 0.275 0.250 0.125
Cu: 0.725 0.750 0.125
Cu: 0.750 0.225 0.375
Cu: 0.750 0.275 0.875
Cu: 0.775 0.750 0.625
Br: 0.000 0.000 0.500
Br: 0.000 0.500 0.750
Br: 0.500 0.000 0.250
Br: 0.500 0.500 0.000

## Properties
Space group: I-42d, No. 122
Polymorph energy (0 for the lowest one): 392 meV per atom
Magnetic moment: 0.0 μB per cell
E_form (uncorrected): -45 meV per atom

=====

Record 4
Below is a geometry-optimized BaCu2Br8 structure, with properties calculated at the GGA-PBE level.

a = 8.456 Å, b = 8.456 Å, c = 8.456 Å
α = 127.71°, β = 127.71°, γ = 77.10°
Positions (direct):
Ba: 0.000 0.000 0.000
Cu: 0.250 0.750 0.500
Cu: 0.750 0.250 0.500
Br: 0.048 0.520 0.819
Br: 0.229 0.048 0.528
Br: 0.299 0.480 0.528
Br: 0.480 0.952 0.181
Br: 0.520 0.701 0.472
Br: 0.701 0.229 0.181
Br: 0.771 0.299 0.819
Br: 0.952 0.771 0.472

## Properties
Space group: I422, No. 97
Magnetic moment: 0.0 μB per cell
E_form (uncorrected): -652 meV per atom

=====

Record 5
Below is a geometry-optimized Ba2CuBr structure, with properties calculated at the GGA-PBE level.

a = 5.220 Å, b = 6.480 Å, c = 8.345 Å
α = 90.00°, β = 90.00°, γ = 90.00°
Positions (direct):
Ba: 0.000 0.000 0.246
Ba: 0.000 0.000 0.754
Ba: 0.500 0.500 0.254
Ba: 0.500 0.500 0.746
Cu: 0.000 0.500 0.500
Cu: 0.500 0.000 0.000
Br: 0.000 0.500 0.000
Br: 0.500 0.000 0.500

## Properties
Space group: Immm, No. 71
Polymorph energy (0 for the lowest one): 207 meV per atom
Magnetic moment: 0.0 μB per cell
E_form (uncorrected): -586 meV per atom

=====

Record 6
Below is a geometry-optimized Ba2CuBr structure, with properties calculated at the GGA-PBE level.

a = 4.612 Å, b = 4.612 Å, c = 25.478 Å
α = 90.00°, β = 90.00°, γ = 120.00°
Positions (direct):
Ba: 0.000 0.000 0.239
Ba: 0.000 0.000 0.761
Ba: 0.333 0.667 0.427
Ba: 0.333 0.667 0.906
Ba: 0.667 0.333 0.094
Ba: 0.667 0.333 0.573
Cu: 0.000 0.000 0.500
Cu: 0.333 0.667 0.167
Cu: 0.667 0.333 0.833
Br: 0.000 0.000 0.000
Br: 0.333 0.667 0.667
Br: 0.667 0.333 0.333

## Properties
Space group: R-3m, No. 166
Polymorph energy (0 for the lowest one): 0 meV per atom
Magnetic moment: 0.0 μB per cell
E_form (uncorrected): -793 meV per atom

=====

Record 7
Below is a geometry-optimized BaCuBr6 structure, with properties calculated at the GGA-PBE level.

a = 5.539 Å, b = 6.919 Å, c = 7.322 Å
α = 95.80°, β = 98.20°, γ = 92.41°
Positions (direct):
Ba: 0.000 0.000 0.000
Cu: 0.000 0.500 0.500
Br: 0.186 0.238 0.669
Br: 0.189 0.444 0.237
Br: 0.449 0.903 0.735
Br: 0.551 0.097 0.265
Br: 0.811 0.556 0.763
Br: 0.814 0.762 0.331

## Properties
Space group: P-1, No. 2
Magnetic moment: 0.0 μB per cell
E_form (uncorrected): -829 meV per atom

=====

Record 8
Below is a geometry-optimized BaCu2Br structure, with properties calculated at the GGA-PBE level.

a = 3.721 Å, b = 3.721 Å, c = 7.552 Å
α = 90.00°, β = 90.00°, γ = 90.00°
Positions (direct):
Ba: 0.000 0.000 0.000
Cu: 0.000 0.000 0.620
Cu: 0.500 0.500 0.658
Br: 0.500 0.500 0.245

## Properties
Space group: P4mm, No. 99
Polymorph energy (0 for the lowest one): 146 meV per atom
Magnetic moment: 0.0 μB per cell
E_form (uncorrected): -291 meV per atom

=====

Record 9
Below is a geometry-optimized BaCuBr4 structure, with properties calculated at the GGA-PBE level.

a = 6.497 Å, b = 6.497 Å, c = 6.497 Å
α = 60.00°, β = 60.00°, γ = 60.00°
Positions (direct):
Ba: 0.000 0.000 0.000
Cu: 0.250 0.250 0.250
Br: 0.126 0.625 0.625
Br: 0.625 0.126 0.625
Br: 0.625 0.625 0.126
Br: 0.625 0.625 0.625

## Properties
Space group: F-43m, No. 216
Polymorph energy (0 for the lowest one): 1000 meV per atom
Magnetic moment: 2.4 μB per cell
E_form (uncorrected): -185 meV per atom

=====

Record 10
Below is a geometry-optimized BaCu2Br structure, with properties calculated at the GGA-PBE level.

a = 4.379 Å, b = 4.982 Å, c = 4.962 Å
α = 90.00°, β = 90.10°, γ = 90.00°
Positions (direct):
Ba: 0.000 0.000 0.000
Cu: 0.497 0.500 0.758
Cu: 0.503 0.500 0.242
Br: 0.500 0.000 0.500

## Properties
Space group: P2/m, No. 10
Polymorph energy (0 for the lowest one): 152 meV per atom
Magnetic moment: 0.0 μB per cell
E_form (uncorrected): -286 meV per atom

=====

Record 11
Below is a geometry-optimized Ba3Cu5Br12 structure, with properties calculated at the GGA-PBE level.

a = 14.590 Å, b = 14.590 Å, c = 14.590 Å
α = 109.47°, β = 109.47°, γ = 109.47°
Positions (direct):
Ba: 0.125 0.250 0.375
Ba: 0.125 0.375 0.750
Ba: 0.250 0.375 0.125
Ba: 0.250 0.875 0.625
Ba: 0.375 0.125 0.250
Ba: 0.375 0.750 0.125
Ba: 0.625 0.250 0.875
Ba: 0.625 0.875 0.750
Ba: 0.750 0.125 0.375
Ba: 0.750 0.625 0.875
Ba: 0.875 0.625 0.250
Ba: 0.875 0.750 0.625
Cu: 0.000 0.000 0.000
Cu: 0.000 0.000 0.500
Cu: 0.000 0.500 0.000
Cu: 0.000 0.500 0.500
Cu: 0.125 0.750 0.875
Cu: 0.125 0.875 0.250
Cu: 0.250 0.125 0.875
Cu: 0.250 0.625 0.375
Cu: 0.375 0.250 0.625
Cu: 0.375 0.625 0.750
Cu: 0.500 0.000 0.000
Cu: 0.500 0.000 0.500
Cu: 0.500 0.500 0.000
Cu: 0.500 0.500 0.500
Cu: 0.625 0.375 0.250
Cu: 0.625 0.750 0.375
Cu: 0.750 0.375 0.625
Cu: 0.750 0.875 0.125
Cu: 0.875 0.125 0.750
Cu: 0.875 0.250 0.125
Br: 0.018 0.200 0.113
Br: 0.018 0.319 0.905
Br: 0.086 0.700 0.681
Br: 0.086 0.887 0.405
Br: 0.095 0.613 0.414
Br: 0.095 0.982 0.681
Br: 0.113 0.018 0.200
Br: 0.113 0.595 0.914
Br: 0.181 0.200 0.586
Br: 0.181 0.482 0.595
Br: 0.200 0.113 0.018
Br: 0.200 0.586 0.181
Br: 0.300 0.319 0.914
Br: 0.300 0.482 0.387
Br: 0.319 0.905 0.018
Br: 0.319 0.914 0.300
Br: 0.387 0.300 0.482
Br: 0.387 0.586 0.905
Br: 0.405 0.086 0.887
Br: 0.405 0.819 0.518
Br: 0.414 0.095 0.613
Br: 0.414 0.819 0.800
Br: 0.482 0.387 0.300
Br: 0.482 0.595 0.181
Br: 0.518 0.405 0.819
Br: 0.518 0.613 0.700
Br: 0.586 0.181 0.200
Br: 0.586 0.905 0.387
Br: 0.595 0.181 0.482
Br: 0.595 0.914 0.113
Br: 0.613 0.414 0.095
Br: 0.613 0.700 0.518
Br: 0.681 0.086 0.700
Br: 0.681 0.095 0.982
Br: 0.700 0.518 0.613
Br: 0.700 0.681 0.086
Br: 0.800 0.414 0.819
Br: 0.800 0.887 0.982
Br: 0.819 0.518 0.405
Br: 0.819 0.800 0.414
Br: 0.887 0.405 0.086
Br: 0.887 0.982 0.800
Br: 0.905 0.018 0.319
Br: 0.905 0.387 0.586
Br: 0.914 0.113 0.595
Br: 0.914 0.300 0.319
Br: 0.982 0.681 0.095
Br: 0.982 0.800 0.887

## Properties
Space group: Ia-3d, No. 230
Magnetic moment: 4.0 μB per cell
E_form (uncorrected): -1118 meV per atom

=====

Record 12
Below is a geometry-optimized Ba2CuBr structure, with properties calculated at the GGA-PBE level.

a = 8.494 Å, b = 8.494 Å, c = 9.390 Å
α = 90.00°, β = 90.00°, γ = 90.00°
Positions (direct):
Ba: 0.232 0.250 0.125
Ba: 0.250 0.732 0.375
Ba: 0.250 0.768 0.875
Ba: 0.268 0.250 0.625
Ba: 0.732 0.750 0.625
Ba: 0.750 0.232 0.875
Ba: 0.750 0.268 0.375
Ba: 0.768 0.750 0.125
Cu: 0.000 0.000 0.000
Cu: 0.000 0.500 0.250
Cu: 0.500 0.000 0.750
Cu: 0.500 0.500 0.500
Br: 0.000 0.000 0.500
Br: 0.000 0.500 0.750
Br: 0.500 0.000 0.250
Br: 0.500 0.500 0.000

## Properties
Space group: I-42d, No. 122
Polymorph energy (0 for the lowest one): 174 meV per atom
Magnetic moment: 0.0 μB per cell
E_form (uncorrected): -619 meV per atom

=====

Record 13
Below is a geometry-optimized Ba2CuBr6 structure, with properties calculated at the GGA-PBE level.

a = 6.879 Å, b = 8.823 Å, c = 12.085 Å
α = 90.00°, β = 123.74°, γ = 90.00°
Positions (direct):
Ba: 0.210 0.118 0.264
Ba: 0.210 0.382 0.764
Ba: 0.790 0.618 0.236
Ba: 0.790 0.882 0.736
Cu: 0.500 0.000 0.000
Cu: 0.500 0.500 0.500
Br: 0.150 0.144 0.958
Br: 0.150 0.356 0.458
Br: 0.272 0.677 0.948
Br: 0.272 0.823 0.448
Br: 0.352 0.015 0.764
Br: 0.352 0.485 0.264
Br: 0.648 0.515 0.736
Br: 0.648 0.985 0.236
Br: 0.728 0.177 0.552
Br: 0.728 0.323 0.052
Br: 0.850 0.644 0.542
Br: 0.850 0.856 0.042

## Properties
Space group: P2_1/c, No. 14
Polymorph energy (0 for the lowest one): 0 meV per atom
Magnetic moment: 2.0 μB per cell
E_form (uncorrected): -1550 meV per atom

=====

Record 14
Below is a geometry-optimized Ba2CuBr structure, with properties calculated at the GGA-PBE level.

a = 3.930 Å, b = 5.726 Å, c = 5.931 Å
α = 90.00°, β = 90.00°, γ = 90.00°
Positions (direct):
Ba: 0.000 0.000 0.000
Ba: 0.000 0.500 0.500
Cu: 0.500 0.000 0.500
Br: 0.500 0.500 0.000

## Properties
Space group: Pmmm, No. 47
Polymorph energy (0 for the lowest one): 164 meV per atom
Magnetic moment: 0.0 μB per cell
E_form (uncorrected): -629 meV per atom

=====

Record 15
Below is a geometry-optimized BaCu2Br structure, with properties calculated at the GGA-PBE level.

a = 7.611 Å, b = 4.397 Å, c = 7.027 Å
α = 90.00°, β = 90.41°, γ = 90.00°
Positions (direct):
Ba: 0.000 0.000 0.000
Ba: 0.500 0.500 0.000
Cu: 0.164 0.500 0.680
Cu: 0.331 0.000 0.699
Cu: 0.664 0.000 0.680
Cu: 0.831 0.500 0.699
Br: 0.168 0.500 0.293
Br: 0.668 0.000 0.293

## Properties
Space group: Cm, No. 8
Polymorph energy (0 for the lowest one): 0 meV per atom
Magnetic moment: 0.0 μB per cell
E_form (uncorrected): -437 meV per atom

=====

Record 16
Below is a geometry-optimized BaCuBr3 structure, with properties calculated at the GGA-PBE level.

a = 6.270 Å, b = 6.270 Å, c = 6.270 Å
α = 90.00°, β = 90.00°, γ = 90.00°
Positions (direct):
Ba: 0.000 0.000 0.000
Cu: 0.500 0.500 0.500
Br: 0.000 0.000 0.500
Br: 0.000 0.500 0.000
Br: 0.500 0.000 0.000

## Properties
Space group: Pm-3m, No. 221
Polymorph energy (0 for the lowest one): 764 meV per atom
Magnetic moment: 0.0 μB per cell
E_form (uncorrected): -654 meV per atom

=====

Record 17
Below is a geometry-optimized BaCu4Br12 structure, with properties calculated at the GGA-PBE level.

a = 8.489 Å, b = 8.489 Å, c = 8.489 Å
α = 109.47°, β = 109.47°, γ = 109.47°
Positions (direct):
Ba: 0.000 0.000 0.000
Cu: 0.000 0.000 0.500
Cu: 0.000 0.500 0.000
Cu: 0.500 0.000 0.000
Cu: 0.500 0.500 0.500
Br: 0.101 0.295 0.806
Br: 0.194 0.489 0.295
Br: 0.194 0.899 0.705
Br: 0.295 0.194 0.489
Br: 0.295 0.806 0.101
Br: 0.489 0.295 0.194
Br: 0.511 0.705 0.806
Br: 0.705 0.194 0.899
Br: 0.705 0.806 0.511
Br: 0.806 0.101 0.295
Br: 0.806 0.511 0.705
Br: 0.899 0.705 0.194

## Properties
Space group: Im-3, No. 204
Magnetic moment: 0.0 μB per cell
E_form (uncorrected): -490 meV per atom

=====

Record 18
Below is a geometry-optimized BaCu4Br structure, with properties calculated at the GGA-PBE level.

a = 5.490 Å, b = 5.490 Å, c = 5.490 Å
α = 60.00°, β = 60.00°, γ = 60.00°
Positions (direct):
Ba: 0.000 0.000 0.000
Cu: 0.378 0.378 0.378
Cu: 0.378 0.378 0.867
Cu: 0.378 0.867 0.378
Cu: 0.867 0.378 0.378
Br: 0.750 0.750 0.750

## Properties
Space group: F-43m, No. 216
Magnetic moment: 0.0 μB per cell
E_form (uncorrected): 30 meV per atom

=====

Record 19
Below is a geometry-optimized BaCu2Br structure, with properties calculated at the GGA-PBE level.

a = 4.403 Å, b = 4.403 Å, c = 5.728 Å
α = 90.00°, β = 90.00°, γ = 90.00°
Positions (direct):
Ba: 0.000 0.000 0.000
Cu: 0.000 0.500 0.500
Cu: 0.500 0.000 0.500
Br: 0.500 0.500 0.000

## Properties
Space group: P4/mmm, No. 123
Polymorph energy (0 for the lowest one): 292 meV per atom
Magnetic moment: 0.0 μB per cell
E_form (uncorrected): -145 meV per atom

=====

Record 20
Below is a geometry-optimized BaCu2Br structure, with properties calculated at the GGA-PBE level.

a = 7.462 Å, b = 7.462 Å, c = 7.462 Å
α = 90.00°, β = 90.00°, γ = 90.00°
Positions (direct):
Ba: 0.000 0.000 0.000
Ba: 0.000 0.500 0.500
Ba: 0.500 0.000 0.500
Ba: 0.500 0.500 0.000
Cu: 0.250 0.250 0.250
Cu: 0.250 0.250 0.750
Cu: 0.250 0.750 0.250
Cu: 0.250 0.750 0.750
Cu: 0.750 0.250 0.250
Cu: 0.750 0.250 0.750
Cu: 0.750 0.750 0.250
Cu: 0.750 0.750 0.750
Br: 0.000 0.000 0.500
Br: 0.000 0.500 0.000
Br: 0.500 0.000 0.000
Br: 0.500 0.500 0.500

## Properties
Space group: Fm-3m, No. 225
Polymorph energy (0 for the lowest one): 553 meV per atom
Magnetic moment: 0.0 μB per cell
E_form (uncorrected): 116 meV per atom

=====

Record 21
Below is a geometry-optimized BaCu2Br structure, with properties calculated at the GGA-PBE level.

a = 5.318 Å, b = 5.318 Å, c = 7.502 Å
α = 90.00°, β = 90.00°, γ = 90.00°
Positions (direct):
Ba: 0.000 0.000 0.000
Ba: 0.500 0.500 0.500
Cu: 0.000 0.000 0.500
Cu: 0.000 0.500 0.250
Cu: 0.500 0.000 0.750
Cu: 0.500 0.500 0.000
Br: 0.000 0.500 0.750
Br: 0.500 0.000 0.250

## Properties
Space group: I-4m2, No. 119
Polymorph energy (0 for the lowest one): 325 meV per atom
Magnetic moment: 0.0 μB per cell
E_form (uncorrected): -113 meV per atom

=====

Record 22
Below is a geometry-optimized BaCu2Br structure, with properties calculated at the GGA-PBE level.

a = 4.750 Å, b = 4.750 Å, c = 15.885 Å
α = 90.00°, β = 90.00°, γ = 120.00°
Positions (direct):
Ba: 0.000 0.000 0.000
Ba: 0.333 0.667 0.667
Ba: 0.667 0.333 0.333
Cu: 0.000 0.000 0.206
Cu: 0.000 0.000 0.794
Cu: 0.333 0.667 0.460
Cu: 0.333 0.667 0.873
Cu: 0.667 0.333 0.127
Cu: 0.667 0.333 0.540
Br: 0.000 0.000 0.500
Br: 0.333 0.667 0.167
Br: 0.667 0.333 0.833

## Properties
Space group: R-3m, No. 166
Polymorph energy (0 for the lowest one): 479 meV per atom
Magnetic moment: 0.0 μB per cell
E_form (uncorrected): 42 meV per atom